(1)
Compound: CrH2Rh2
Source: the Alexandria database
Functional: PBE
Structure: optimized geometry

Output
Energy relative to the lowest polymorph listed for this composition: 96.8 meV per atom
Size of the total moment: 3.98 Bohr magnetons per cell
Final energy: -6.1294 eV per atom

extended XYZ file:
```
10
Lattice="5.7761 0.0000 0.0000 0.0000 5.7761 0.0000 0.0000 0.0000 2.9055" Properties=species:S:1:pos:R:3 pbc="T T T"
Cr 0.0000 0.0000 0.0000
Cr 2.8881 2.8881 0.0000
Rh 0.9375 3.8256 1.4528
Rh 3.8256 4.8386 1.4528
Rh 4.8386 1.9505 1.4528
Rh 1.9505 0.9375 1.4528
H 1.6820 4.5701 0.0000
H 4.5701 4.0941 0.0000
H 4.0941 1.2061 0.0000
H 1.2061 1.6820 0.0000
```


(2)
Compound: Cr3H2Rh2
Source: the Alexandria database
Functional: PBE
Structure: optimized geometry

Output
Size of the total moment: 0.77 Bohr magnetons per cell
Final energy: -7.1235 eV per atom

extended XYZ file:
```
7
Lattice="-2.5908 0.1341 -0.8127 -0.1965 -1.5902 -4.1832 -1.8053 -6.0713 0.2064" Properties=species:S:1:pos:R:3 pbc="T T T"
Cr -1.2954 0.0671 -0.4063
Cr -1.9201 -3.9349 -3.6223
Cr -2.6725 -3.5926 -1.1672
H -1.5827 -4.8808 -0.3071
H -3.0099 -2.6467 -4.4824
Rh -0.8997 -1.9381 -1.9988
Rh -3.6929 -5.5893 -2.7908
```


Which formula does entry 1 have? CrH2Rh2


Number 2 is which compound? Cr3H2Rh2


Repeat the second record exactly.
Compound: Cr3H2Rh2
Source: the Alexandria database
Functional: PBE
Structure: optimized geometry

Output
Size of the total moment: 0.77 Bohr magnetons per cell
Final energy: -7.1235 eV per atom

extended XYZ file:
```
7
Lattice="-2.5908 0.1341 -0.8127 -0.1965 -1.5902 -4.1832 -1.8053 -6.0713 0.2064" Properties=species:S:1:pos:R:3 pbc="T T T"
Cr -1.2954 0.0671 -0.4063
Cr -1.9201 -3.9349 -3.6223
Cr -2.6725 -3.5926 -1.1672
H -1.5827 -4.8808 -0.3071
H -3.0099 -2.6467 -4.4824
Rh -0.8997 -1.9381 -1.9988
Rh -3.6929 -5.5893 -2.7908
```


The highest size of the total moment belongs to which entry? CrH2Rh2